Record 1
# PaTi3Se8

Crystalline PaTi3Se8 at its relaxed geometry (PBE, Alexandria).

Summary:
ΔE_f (raw): -1.158 eV/atom
Symmetry: C2/m

Structure (POSCAR):
```
PaTi3Se8
1.0
6.4340 -3.7153 0.0000
6.4340 3.7153 0.0000
-4.3864 0.0000 6.7697
Pa Ti Se
1 3 8
Direct
0.0000 0.0000 0.0000
0.0000 0.5000 0.0000
0.5000 0.0000 0.0000
0.5000 0.5000 0.0000
0.2557 0.2557 0.2307
0.2558 0.7244 0.2307
0.2588 0.2588 0.7811
0.2756 0.7442 0.7693
0.7244 0.2558 0.2307
0.7412 0.7412 0.2189
0.7442 0.2756 0.7693
0.7443 0.7443 0.7693
```



Record 2
# MgMnAs

Crystalline MgMnAs at its relaxed geometry (PBE, Alexandria).

Summary:
Symmetry: P-6m2
DFT formation energy: -0.055 eV/atom

Structure (POSCAR):
```
MgMnAs
1.0
4.1258 0.0000 0.0000
-2.0629 3.5731 0.0000
0.0000 0.0000 3.6696
Mg Mn As
1 1 1
Direct
0.0000 0.0000 0.0000
0.3333 0.6667 0.5000
0.6667 0.3333 0.5000
```



Record 3
# Tb3PrHo5

Crystalline Tb3PrHo5 at its relaxed geometry (PBE, Alexandria).

Summary:
Distance to the lowest polymorph of the same formula: 0 meV/atom
Symmetry: C2/c
DFT formation energy: 0.333 eV/atom

Structure (POSCAR):
```
Tb3PrHo5
1.0
9.6329 -3.0081 0.0000
9.6329 3.0081 0.0000
-4.5914 0.0000 10.3503
Tb Pr Ho
6 2 10
Direct
0.0000 0.0000 0.0000
0.0000 0.0000 0.5000
0.0554 0.5869 0.6388
0.4131 0.9446 0.8612
0.5869 0.0554 0.1388
0.9446 0.4131 0.3612
0.0997 0.9003 0.7500
0.9003 0.0997 0.2500
0.0806 0.5780 0.9704
0.0971 0.5790 0.3071
0.4080 0.5920 0.2500
0.4210 0.9029 0.1929
0.4220 0.9194 0.5296
0.5780 0.0806 0.4704
0.5790 0.0971 0.8071
0.5920 0.4080 0.7500
0.9029 0.4210 0.6929
0.9194 0.4220 0.0296
```



Record 4
# CsY2MnCd

Crystalline CsY2MnCd at its relaxed geometry (PBE, Alexandria).

Summary:
Symmetry: P4/mmm
DFT formation energy: 0.413 eV/atom

Structure (POSCAR):
```
CsY2MnCd
1.0
5.3359 0.0000 0.0000
0.0000 5.3359 0.0000
0.0000 0.0000 5.5734
Cs Y Mn Cd
1 2 1 1
Direct
0.0000 0.0000 0.0000
0.0000 0.5000 0.5000
0.5000 0.0000 0.5000
0.5000 0.5000 0.5000
0.5000 0.5000 0.0000
```



Record 5
# Ta3Cr

Crystalline Ta3Cr at its relaxed geometry (PBE, Alexandria).

Summary:
Symmetry: R-3m
DFT formation energy: 0.123 eV/atom

Structure (POSCAR):
```
Ta3Cr
1.0
4.5014 2.5989 0.9562
-4.5014 2.5989 0.9562
0.0000 -5.1977 0.9562
Ta Cr
3 1
Direct
0.0000 0.5000 0.5000
0.5000 0.0000 0.5000
0.5000 0.5000 0.0000
0.0000 0.0000 0.0000
```



Record 6
# UVP2Ir

Crystalline UVP2Ir at its relaxed geometry (PBE, Alexandria).

Summary:
Symmetry: I-4m2
DFT formation energy: -0.702 eV/atom

Structure (POSCAR):
```
UVP2Ir
1.0
-1.9835 1.9835 5.0158
1.9835 -1.9835 5.0158
1.9835 1.9835 -5.0158
U V P Ir
1 1 2 1
Direct
0.0000 0.0000 0.0000
0.7500 0.2500 0.5000
0.3830 0.3830 0.0000
0.6170 0.6170 0.0000
0.2500 0.7500 0.5000
```



Record 7
# ZrMoAs2

Crystalline ZrMoAs2 at its relaxed geometry (PBE, Alexandria).

Summary:
Distance to the lowest polymorph of the same formula: 201 meV/atom
Symmetry: Fm-3m
DFT formation energy: -0.458 eV/atom

Structure (POSCAR):
```
ZrMoAs2
1.0
0.0000 3.2435 3.2435
3.2435 0.0000 3.2435
3.2435 3.2435 0.0000
Zr Mo As
1 1 2
Direct
0.0000 0.0000 0.0000
0.5000 0.5000 0.5000
0.2500 0.2500 0.2500
0.7500 0.7500 0.7500
```



Record 8
# Y5Mg4Au

Crystalline Y5Mg4Au at its relaxed geometry (PBE, Alexandria).

Summary:
Symmetry: P4/mmm
DFT formation energy: -0.259 eV/atom

Structure (POSCAR):
```
Y5Mg4Au
1.0
3.7532 0.0000 0.0000
0.0000 3.7532 0.0000
0.0000 0.0000 18.7872
Y Mg Au
5 4 1
Direct
0.0000 0.0000 0.0000
0.0000 0.0000 0.2058
0.0000 0.0000 0.4091
0.0000 0.0000 0.5909
0.0000 0.0000 0.7942
0.5000 0.5000 0.1027
0.5000 0.5000 0.3049
0.5000 0.5000 0.6951
0.5000 0.5000 0.8973
0.5000 0.5000 0.5000
```